First-principles (PBE) data for Tl12Te5S3 after structural relaxation, as listed in Alexandria.

Cell: 16.145 16.145 16.145 Å, 109.47 109.47 109.47°
Atoms (fractional coordinates):
S 0.875 0.750 0.125
Tl 0.062 0.667 0.721
Tl 0.659 0.221 0.554
Tl 0.779 0.341 0.946
Tl 0.341 0.562 0.395
Tl 0.779 0.438 0.333
Tl 0.279 0.833 0.938
Tl 0.279 0.446 0.841
Tl 0.895 0.841 0.562
S 0.125 0.250 0.875
Tl 0.659 0.438 0.605
Tl 0.833 0.554 0.895
Te 0.000 0.500 0.500
Te 0.125 0.375 0.250
Tl 0.054 0.895 0.333
Tl 0.438 0.779 0.833
Te 0.250 0.875 0.125
Te 0.625 0.750 0.875
Tl 0.054 0.159 0.221
Tl 0.841 0.946 0.279
Tl 0.221 0.659 0.054
Te 0.875 0.250 0.625
Tl 0.946 0.105 0.667
Tl 0.895 0.054 0.833
Tl 0.721 0.554 0.159
Tl 0.667 0.062 0.221
Tl 0.341 0.779 0.446
S 0.750 0.375 0.125
Tl 0.605 0.667 0.446
Tl 0.446 0.279 0.341
Tl 0.221 0.562 0.667
Tl 0.562 0.221 0.167
Tl 0.554 0.833 0.395
Te 0.000 0.000 0.000
Te 0.500 0.000 0.500
Tl 0.554 0.721 0.659
Te 0.250 0.375 0.625
Tl 0.159 0.054 0.721
Te 0.375 0.125 0.750
Te 0.500 0.000 0.000
Tl 0.562 0.341 0.895
Tl 0.333 0.395 0.054
Te 0.875 0.625 0.750
Tl 0.395 0.062 0.341
Tl 0.167 0.721 0.562
Tl 0.446 0.167 0.605
Tl 0.938 0.333 0.279
S 0.625 0.250 0.375
S 0.875 0.125 0.250
Te 0.000 0.500 0.000
S 0.375 0.625 0.250
Tl 0.605 0.938 0.659
Tl 0.105 0.159 0.438
Te 0.375 0.250 0.125
Te 0.750 0.125 0.875
Tl 0.938 0.605 0.159
S 0.375 0.750 0.625
S 0.125 0.875 0.750
Tl 0.333 0.938 0.779
Tl 0.841 0.895 0.062
Tl 0.833 0.279 0.438
S 0.250 0.125 0.375
Tl 0.159 0.105 0.938
Te 0.125 0.750 0.375
S 0.625 0.375 0.750
Tl 0.105 0.946 0.167
Tl 0.438 0.659 0.105
Te 0.000 0.000 0.500
Te 0.500 0.500 0.500
Tl 0.167 0.446 0.105
S 0.750 0.875 0.625
S 0.250 0.625 0.875
Tl 0.946 0.841 0.779
Tl 0.395 0.333 0.554
Tl 0.721 0.167 0.062
Te 0.750 0.625 0.375
Te 0.500 0.500 0.000
Tl 0.667 0.605 0.946
Te 0.625 0.875 0.250
Tl 0.062 0.395 0.841

Values from the calculation:
E_form (uncorrected)	-117	meV per atom

=====

First-principles (PBE) data for Tl12Te7S after structural relaxation, as listed in Alexandria.

Cell: 7.876 11.021 11.021 Å, 65.49 76.22 103.78°
Atoms (fractional coordinates):
Tl 0.786 0.875 0.872
Te 0.081 0.722 0.840
Te 0.919 0.278 0.160
Te 0.078 0.160 0.562
Te 0.500 0.000 0.000
Tl 0.911 0.253 0.875
Tl 0.270 0.950 0.506
Tl 0.089 0.747 0.125
Tl 0.320 0.544 0.950
Te 0.360 0.438 0.722
Tl 0.214 0.125 0.128
Tl 0.680 0.456 0.050
S 0.000 0.000 0.000
Tl 0.776 0.506 0.544
Tl 0.342 0.128 0.747
Te 0.640 0.562 0.278
Te 0.922 0.840 0.438
Tl 0.658 0.872 0.253
Tl 0.224 0.494 0.456
Tl 0.730 0.050 0.494

Values from the calculation:
E_form (uncorrected)	-178	meV per atom

=====

First-principles (PBE) data for Tl2TeS2 after structural relaxation, as listed in Alexandria.

Cell: 7.505 7.505 4.946 Å, 90.00 90.00 90.00°
Atoms (fractional coordinates):
Te 0.000 0.000 0.000
Tl 0.155 0.655 0.500
Tl 0.655 0.845 0.500
Tl 0.345 0.155 0.500
S 0.822 0.678 0.000
S 0.322 0.822 0.000
Te 0.500 0.500 0.000
Tl 0.845 0.345 0.500
S 0.678 0.178 0.000
S 0.178 0.322 0.000

Values from the calculation:
E_form (uncorrected)	-87	meV per atom

=====

First-principles (PBE) data for Tl2TeS6 after structural relaxation, as listed in Alexandria.

Cell: 7.682 7.746 12.798 Å, 85.93 139.22 128.56°
Atoms (fractional coordinates):
Tl 0.793 0.960 0.251
S 0.970 0.430 0.646
S 0.791 0.629 0.805
S 0.209 0.371 0.195
Tl 0.207 0.040 0.749
S 0.456 0.015 0.339
Te 0.000 0.000 0.000
S 0.544 0.985 0.661
S 0.030 0.570 0.354

Values from the calculation:
E_form (uncorrected)	-21	meV per atom

=====

First-principles (PBE) data for Tl3TeS3 after structural relaxation, as listed in Alexandria.

Cell: 8.466 8.838 8.838 Å, 55.72 120.58 120.58°
Atoms (fractional coordinates):
S 0.723 0.976 0.976
Te 0.973 0.753 0.753
Tl 0.499 0.755 0.755
S 0.204 0.460 0.017
S 0.204 0.017 0.460
Tl 0.000 0.752 0.248
Tl 0.000 0.248 0.752
Tl 0.500 0.251 0.749
S 0.796 0.983 0.540
Te 0.027 0.247 0.247
Tl 0.500 0.749 0.251
S 0.796 0.540 0.983
S 0.277 0.024 0.024
Tl 0.501 0.245 0.245

Values from the calculation:
E_form (uncorrected)	-200	meV per atom

=====

First-principles (PBE) data for TlTe2S6 after structural relaxation, as listed in Alexandria.

Cell: 5.353 8.806 8.125 Å, 115.79 78.01 122.72°
Atoms (fractional coordinates):
Tl 0.355 0.120 0.100
S 0.003 0.392 0.982
S 0.892 0.852 0.510
S 0.928 0.602 0.988
Te 0.509 0.614 0.253
Te 0.404 0.362 0.729
S 0.112 0.616 0.511
S 0.788 0.335 0.451
S 0.009 0.106 0.475

Values from the calculation:
E_form (uncorrected)	68	meV per atom

=====

First-principles (PBE) data for TlTe2S after structural relaxation, as listed in Alexandria.

Cell: 5.981 5.981 9.320 Å, 71.29 71.29 90.00°
Atoms (fractional coordinates):
Te 0.375 0.485 0.750
S 0.250 0.750 0.500
Te 0.515 0.125 0.250
Te 0.235 0.625 0.250
Tl 0.750 0.250 0.500
Te 0.875 0.765 0.750
Tl 0.000 0.000 0.000
S 0.500 0.500 0.000

Values from the calculation:
E_form (uncorrected)	154	meV per atom

=====

First-principles (PBE) data for Tl6TeS2 after structural relaxation, as listed in Alexandria.

Cell: 4.927 7.245 10.660 Å, 64.78 76.64 70.12°
Atoms (fractional coordinates):
Tl 0.007 0.173 0.814
Tl 0.644 0.717 0.995
S 0.219 0.730 0.833
S 0.781 0.270 0.167
Tl 0.993 0.827 0.186
Tl 0.671 0.198 0.459
Te 0.000 0.500 0.500
Tl 0.356 0.283 0.005
Tl 0.329 0.802 0.541

Values from the calculation:
E_form (uncorrected)	-241	meV per atom